Compound: AcLa3Pr7
Source: the Alexandria database
Functional: PBE-GGA
Structure: relaxed

Output
Energy relative to the lowest polymorph listed for this composition in eV/atom: 0.0414
V in Å³ per cell: 421

abc: 6.2444 8.7848 8.7848
angles: 81.78 110.79 110.79
Fractional coordinates of all 11 atoms:
Pr1 0.2955 0.9932 0.5977
La1 0.5000 0.0000 0.0000
Pr2 0.7045 0.4023 0.0068
Pr3 0.7045 0.0068 0.4023
Pr4 0.1976 0.1984 0.1984
La2 0.0000 0.2139 0.7861
Pr5 0.8024 0.8016 0.8016
Pr6 0.0000 0.5000 0.5000
Ac1 0.5000 0.5000 0.5000
Pr7 0.2955 0.5977 0.9932
La3 0.0000 0.7861 0.2139

=====

Compound: Li3AlAu
Source: the Alexandria database
Functional: PBE-GGA
Structure: relaxed

Output
Energy relative to the lowest polymorph listed for this composition in eV/atom: 0.7729
V in Å³ per cell: 109

abc: 4.7812 4.7812 4.7812
angles: 90.00 90.00 90.00
Fractional coordinates of all 5 atoms:
Li1 0.0000 0.5000 0.0000
Li2 0.0000 0.0000 0.5000
Al1 0.0000 0.0000 0.0000
Au1 0.5000 0.5000 0.5000
Li3 0.5000 0.0000 0.0000

=====

Compound: Gd2MgTl
Source: the Alexandria database
Functional: PBE-GGA
Structure: relaxed

Output
Energy relative to the lowest polymorph listed for this composition in eV/atom: 0.0000
V in Å³ per cell: 110

abc: 5.3862 5.3862 5.3862
angles: 60.00 60.00 60.00
Fractional coordinates of all 4 atoms:
Tl1 0.5000 0.5000 0.5000
Mg1 0.0000 0.0000 0.0000
Gd1 0.2500 0.2500 0.2500
Gd2 0.7500 0.7500 0.7500

=====

Compound: Sm2Al4Ga3Ag
Source: the Alexandria database
Functional: PBE-GGA
Structure: relaxed

Output
Total DFT energy (no corrections) in eV/cell: -40.4
V in Å³ per cell: 199

abc: 4.2649 4.2649 10.9380
angles: 90.00 90.00 90.00
Fractional coordinates of all 10 atoms:
Ag1 0.5000 0.5000 0.5000
Al1 0.5000 0.0000 0.6351
Sm1 0.0000 0.5000 0.7503
Ga1 0.0000 0.5000 0.1388
Ga2 0.5000 0.0000 0.8612
Al2 0.5000 0.5000 0.0000
Ga3 0.0000 0.0000 0.5000
Al3 0.0000 0.0000 0.0000
Al4 0.0000 0.5000 0.3649
Sm2 0.5000 0.0000 0.2497

=====

Compound: ScRu2
Source: the Alexandria database
Functional: PBE-GGA
Structure: relaxed

Output
Total DFT energy (no corrections) in eV/cell: -49.5
V in Å³ per cell: 112

abc: 8.0109 8.0109 8.0109
angles: 152.19 152.19 39.74
Fractional coordinates of all 6 atoms:
Ru1 0.3284 0.8284 0.5000
Ru2 0.1716 0.6716 0.5000
Ru3 0.4216 0.4216 0.0000
Ru4 0.5784 0.5784 0.0000
Sc1 0.0000 0.0000 0.0000
Sc2 0.7500 0.2500 0.5000

=====

Compound: DyErAg
Source: the Alexandria database
Functional: PBE-GGA
Structure: relaxed

Output
Energy relative to the lowest polymorph listed for this composition in eV/atom: 0.0000
V in Å³ per cell: 318

abc: 5.0414 9.0468 6.9744
angles: 90.00 90.00 90.00
Fractional coordinates of all 12 atoms:
Ag1 0.7500 0.6013 0.2379
Er1 0.7500 0.9224 0.1526
Ag2 0.2500 0.3987 0.7621
Ag3 0.2500 0.1013 0.2621
Dy1 0.2500 0.6858 0.9838
Er2 0.2500 0.4224 0.3474
Ag4 0.7500 0.8987 0.7379
Dy2 0.7500 0.3142 0.0162
Er3 0.7500 0.5776 0.6526
Er4 0.2500 0.0776 0.8474
Dy3 0.2500 0.8142 0.4838
Dy4 0.7500 0.1858 0.5162

=====

Compound: Be2PdAu
Source: the Alexandria database
Functional: PBE-GGA
Structure: relaxed

Output
Total DFT energy (no corrections) in eV/cell: -17.3
V in Å³ per cell: 49

abc: 2.8518 4.1385 4.1385
angles: 90.00 90.00 90.00
Fractional coordinates of all 4 atoms:
Be1 0.0000 0.0000 0.5000
Au1 0.5000 0.0000 0.0000
Pd1 0.5000 0.5000 0.5000
Be2 0.0000 0.5000 0.0000

=====

Compound: BaLiLa3
Source: the Alexandria database
Functional: PBE-GGA
Structure: relaxed

Output
Energy relative to the lowest polymorph listed for this composition in eV/atom: 0.4391
V in Å³ per cell: 221

abc: 6.0494 6.0494 6.0494
angles: 90.00 90.00 90.00
Fractional coordinates of all 5 atoms:
Ba1 0.0000 0.0000 0.0000
La1 0.0000 0.0000 0.5000
La2 0.0000 0.5000 0.0000
La3 0.5000 0.0000 0.0000
Li1 0.5000 0.5000 0.5000

=====

Compound: CaScI2N
Source: the Alexandria database
Functional: PBE-GGA
Structure: relaxed

Output
Energy relative to the lowest polymorph listed for this composition in eV/atom: 0.8768
V in Å³ per cell: 146

abc: 5.9718 5.9718 4.0995
angles: 90.00 90.00 90.00
Fractional coordinates of all 5 atoms:
N1 0.0000 0.0000 0.5000
I1 0.0000 0.5000 0.0000
I2 0.5000 0.0000 0.0000
Sc1 0.5000 0.5000 0.5000
Ca1 0.0000 0.0000 0.0000

=====

Compound: Tb2DyTl4
Source: the Alexandria database
Functional: PBE-GGA
Structure: relaxed

Output
Energy relative to the lowest polymorph listed for this composition in eV/atom: 0.0000
V in Å³ per cell: 211

abc: 6.4978 6.4979 6.4979
angles: 109.18 109.62 109.62
Fractional coordinates of all 7 atoms:
Tl1 0.5000 0.5000 0.5000
Tl2 0.0000 0.5000 0.0000
Dy1 0.0000 0.0000 0.0000
Tb1 0.5000 0.0000 0.5000
Tb2 0.5000 0.5000 0.0000
Tl3 0.5000 0.0000 0.0000
Tl4 0.0000 0.0000 0.5000

=====

Compound: Pm3Y6Th2Sc
Source: the Alexandria database
Functional: PBE-GGA
Structure: relaxed

Output
Total DFT energy (no corrections) in eV/cell: -73.9
V in Å³ per cell: 384

abc: 6.1710 6.1710 11.8172
angles: 95.00 95.00 119.98
Fractional coordinates of all 12 atoms:
Pm1 0.5000 0.5000 0.5000
Sc1 0.0000 0.0000 0.0000
Th1 0.6665 0.3335 0.0000
Y1 0.7472 0.7472 0.2442
Y2 0.2528 0.2528 0.7558
Y3 0.9191 0.5858 0.7562
Y4 0.0809 0.4142 0.2438
Y5 0.4142 0.0809 0.2438
Th2 0.3335 0.6665 0.0000
Y6 0.5858 0.9191 0.7562
Pm2 0.8336 0.1664 0.5000
Pm3 0.1664 0.8336 0.5000

=====

Compound: HoMgTeO6
Source: the Alexandria database
Functional: PBE-GGA
Structure: relaxed

Output
Total DFT energy (no corrections) in eV/cell: -114.5
V in Å³ per cell: 232

abc: 5.2959 5.2959 9.5431
angles: 90.00 90.00 120.00
Fractional coordinates of all 18 atoms:
O1 0.9773 0.3419 0.6376
O2 0.9773 0.6353 0.8624
O3 0.6353 0.6581 0.1376
Te1 0.3333 0.6667 0.2500
O4 0.6353 0.9773 0.3624
Mg1 0.3333 0.6667 0.7500
O5 0.3647 0.0227 0.6376
O6 0.3419 0.9773 0.1376
O7 0.0227 0.3647 0.1376
O8 0.6581 0.0227 0.8624
O9 0.6581 0.6353 0.6376
Mg2 0.6667 0.3333 0.2500
O10 0.3647 0.3419 0.8624
O11 0.0227 0.6581 0.3624
Ho1 0.0000 0.0000 0.5000
Te2 0.6667 0.3333 0.7500
O12 0.3419 0.3647 0.3624
Ho2 0.0000 0.0000 0.0000

=====

Compound: NdYHoHg
Source: the Alexandria database
Functional: PBE-GGA
Structure: relaxed

Output
Energy relative to the lowest polymorph listed for this composition in eV/atom: 0.0000
V in Å³ per cell: 119

abc: 3.6470 3.6470 8.9160
angles: 90.00 90.00 90.00
Fractional coordinates of all 4 atoms:
Nd1 0.0000 0.0000 0.0739
Ho1 0.5000 0.5000 0.3555
Hg1 0.0000 0.0000 0.5681
Y1 0.5000 0.5000 0.7872

=====

Compound: LaCo12Ge6
Source: the Alexandria database
Functional: PBE-GGA
Structure: relaxed

Output
Total DFT energy (no corrections) in eV/cell: -119.6
V in Å³ per cell: 264

abc: 6.7178 6.7178 6.7178
angles: 105.27 105.27 105.27
Fractional coordinates of all 19 atoms:
Co1 0.5000 0.1301 0.8699
Co2 0.4380 0.4380 0.1841
Co3 0.8699 0.5000 0.1301
Co4 0.4380 0.1841 0.4380
Ge1 0.7593 0.3096 0.7593
Ge2 0.6904 0.2407 0.2407
La1 0.0000 0.0000 0.0000
Co5 0.1841 0.4380 0.4380
Co6 0.5620 0.5620 0.8159
Ge3 0.3096 0.7593 0.7593
Ge4 0.2407 0.6904 0.2407
Co7 0.5000 0.8699 0.1301
Co8 0.5620 0.8159 0.5620
Co9 0.8159 0.5620 0.5620
Ge5 0.7593 0.7593 0.3096
Ge6 0.2407 0.2407 0.6904
Co10 0.1301 0.8699 0.5000
Co11 0.8699 0.1301 0.5000
Co12 0.1301 0.5000 0.8699

=====

Compound: RbYIn2
Source: the Alexandria database
Functional: PBE-GGA
Structure: relaxed

Output
Energy relative to the lowest polymorph listed for this composition in eV/atom: 0.2443
V in Å³ per cell: 130

abc: 5.6810 5.6810 5.6810
angles: 60.00 60.00 60.00
Fractional coordinates of all 4 atoms:
Rb1 0.0000 0.0000 0.0000
Y1 0.5000 0.5000 0.5000
In1 0.2500 0.2500 0.2500
In2 0.7500 0.7500 0.7500

=====

Compound: TlAgPd2C
Source: the Alexandria database
Functional: PBE-GGA
Structure: relaxed

Output
Total DFT energy (no corrections) in eV/cell: -14.0
V in Å³ per cell: 138

abc: 5.1029 5.2919 5.1029
angles: 90.00 90.00 90.00
Fractional coordinates of all 5 atoms:
Pd1 0.5000 0.0000 0.0000
C1 0.5000 0.5000 0.5000
Pd2 0.0000 0.0000 0.5000
Tl1 0.0000 0.0000 0.0000
Ag1 0.0000 0.5000 0.0000

=====

Compound: Dy2YSc2
Source: the Alexandria database
Functional: PBE-GGA
Structure: relaxed

Output
Energy relative to the lowest polymorph listed for this composition in eV/atom: 0.0000
V in Å³ per cell: 576

abc: 5.9955 6.9307 13.9973
angles: 90.00 98.16 90.00
Fractional coordinates of all 20 atoms:
Sc1 0.2517 0.1248 0.5002
Dy1 0.8532 0.6272 0.3032
Sc2 0.1137 0.6260 0.0995
Sc3 0.7483 0.8752 0.4998
Dy2 0.8798 0.8759 0.9018
Sc4 0.6137 0.8740 0.0995
Y1 0.3497 0.3768 0.3038
Y2 0.1503 0.8768 0.6962
Dy3 0.6202 0.3759 0.0982
Sc5 0.8863 0.3740 0.9005
Dy4 0.6468 0.1272 0.6968
Dy5 0.1468 0.3728 0.6968
Sc6 0.3863 0.1260 0.9005
Y3 0.6503 0.6232 0.6962
Dy6 0.3798 0.6241 0.9018
Dy7 0.3532 0.8728 0.3032
Dy8 0.1202 0.1241 0.0982
Sc7 0.7517 0.3752 0.5002
Y4 0.8497 0.1232 0.3038
Sc8 0.2483 0.6248 0.4998

=====

Compound: LiScMo2
Source: the Alexandria database
Functional: PBE-GGA
Structure: relaxed

Output
Energy relative to the lowest polymorph listed for this composition in eV/atom: 0.1477
V in Å³ per cell: 67

abc: 2.6787 2.6787 9.3852
angles: 90.00 90.00 90.00
Fractional coordinates of all 4 atoms:
Mo1 0.0000 0.0000 0.5032
Mo2 0.0000 0.0000 0.9968
Sc1 0.5000 0.5000 0.2500
Li1 0.5000 0.5000 0.7500

=====

Compound: YTh2Cd6
Source: the Alexandria database
Functional: PBE-GGA
Structure: relaxed

Output
Total DFT energy (no corrections) in eV/cell: -28.9
V in Å³ per cell: 228

abc: 3.4025 8.8022 8.8022
angles: 60.01 90.00 90.00
Fractional coordinates of all 9 atoms:
Cd1 0.5000 0.6707 0.3293
Cd2 0.4994 0.0000 0.6707
Cd3 0.5000 0.3293 0.6707
Cd4 0.4994 0.6707 0.0000
Th1 0.0000 0.6667 0.6667
Cd5 0.5006 0.0000 0.3293
Y1 0.0000 0.0000 0.0000
Cd6 0.5006 0.3293 0.0000
Th2 0.0000 0.3333 0.3333

=====

Compound: SrPd4O8
Source: the Alexandria database
Functional: PBE-GGA
Structure: relaxed

Output
Energy relative to the lowest polymorph listed for this composition in eV/atom: 0.0000
V in Å³ per cell: 204

abc: 6.3118 6.3118 6.9436
angles: 62.97 62.97 60.00
Fractional coordinates of all 13 atoms:
Pd1 0.0000 0.5000 0.0000
Pd2 0.5000 0.0000 0.0000
O1 0.2771 0.2771 0.1687
O2 0.2350 0.7057 0.8243
Pd3 0.0000 0.0000 0.0000
O3 0.2943 0.7650 0.1757
O4 0.7229 0.7229 0.8313
O5 0.2350 0.2350 0.8243
Sr1 0.5000 0.5000 0.5000
Pd4 0.5000 0.5000 0.0000
O6 0.7650 0.2943 0.1757
O7 0.7057 0.2350 0.8243
O8 0.7650 0.7650 0.1757